Entry 1:
The following is a DFT calculation (GGA-PBE) of a relaxed structure of PrPu2BeO8.

abc: 4.9261 4.9281 6.8236
angles: 90.01 89.99 83.64
Last column: nearest neighbours and their distance in Å.
Element x y z (fractional)
Be  0.0000  0.0000  0.0000  4 O 1.86-1.87
O  0.1911  0.8084  0.7985  1 Be 1.86, 1 Pu 2.04
Pu  0.5001  0.4999  0.2349  6 O 2.04-2.22
O  0.3167  0.3163  0.0000  2 Pu 2.09, 1 Be 2.32
O  0.8089  0.1916  0.2015  1 Be 1.86, 1 Pu 2.04
Pr  0.0000  0.0000  0.5000  6 O 2.39
Pu  0.4999  0.5001  0.7651  6 O 2.04-2.22
O  0.1913  0.8082  0.2017  1 Be 1.87, 1 Pu 2.04
O  0.6833  0.6837  0.0000  2 Pu 2.09, 1 Be 2.32
O  0.3261  0.3254  0.5000  2 Pu 2.22, 1 Pr 2.39
O  0.6739  0.6746  0.5000  2 Pu 2.22, 1 Pr 2.39
O  0.8087  0.1918  0.7983  1 Be 1.87, 1 Pu 2.04

Properties
The calculation puts the calculated volume at 164.63 Å³/cell. Its raw formation energy is -2.5804 eV/atom. The calculation puts the raw total energy at -8.983 eV per atom.

---

Entry 2:
The following is a DFT calculation (GGA-PBE) of a relaxed structure of NaMg3Tl6.

abc: 7.7013 8.9629 8.9629
angles: 116.15 90.00 90.00
Last column: nearest neighbours and their distance in Å.
Element x y z (fractional)
Tl  0.2729  0.1395  0.4955  3 Mg 3.11-3.27, 4 Tl 3.27-3.46, 1 Na 3.36
Mg  0.9278  0.0432  0.2940  7 Tl 3.11-3.27, 2 Mg 3.17-3.20
Tl  0.1043  0.7296  0.6416  4 Mg 3.07-3.29, 3 Tl 3.27-3.40
Tl  0.1467  0.7339  0.2661  3 Mg 3.07-3.16, 1 Na 3.32, 4 Tl 3.40-3.43
Tl  0.1043  0.3584  0.2705  4 Mg 3.07-3.29, 3 Tl 3.27-3.40
Tl  0.2729  0.5045  0.8605  3 Mg 3.11-3.27, 4 Tl 3.27-3.46, 1 Na 3.36
Tl  0.2440  0.9722  0.0278  4 Mg 3.16-3.27, 2 Na 3.19-3.47, 2 Tl 3.35
Tl  0.6467  0.2661  0.7339  3 Mg 3.07-3.16, 1 Na 3.32, 4 Tl 3.40-3.43
Na  0.0382  0.1750  0.8250  5 Tl 3.19-3.47, 3 Mg 3.48
Tl  0.7440  0.0278  0.9722  4 Mg 3.16-3.27, 2 Na 3.19-3.47, 2 Tl 3.35
Mg  0.4278  0.2940  0.0432  7 Tl 3.11-3.27, 2 Mg 3.17-3.20
Na  0.5382  0.8250  0.1750  5 Tl 3.19-3.47, 3 Mg 3.48
Mg  0.9466  0.3990  0.6010  7 Tl 3.07-3.29, 2 Mg 3.17
Mg  0.9278  0.7060  0.9568  7 Tl 3.11-3.27, 2 Mg 3.17-3.20
Mg  0.4278  0.9568  0.7060  7 Tl 3.11-3.27, 2 Mg 3.17-3.20
Tl  0.7729  0.4955  0.1395  3 Mg 3.11-3.27, 4 Tl 3.27-3.46, 1 Na 3.36
Tl  0.6043  0.2705  0.3584  4 Mg 3.07-3.29, 3 Tl 3.27-3.40
Mg  0.4466  0.6010  0.3990  7 Tl 3.07-3.29, 2 Mg 3.17
Tl  0.6043  0.6416  0.7296  4 Mg 3.07-3.29, 3 Tl 3.27-3.40
Tl  0.7729  0.8605  0.5045  3 Mg 3.11-3.27, 4 Tl 3.27-3.46, 1 Na 3.36

Properties
The calculation puts the calculated volume at 555.36 Å³/cell. Its energy of formation from the pure elements is -0.51 kJ/mol of atoms. The value obtained for the energy above the most stable polymorph in this dataset is 36 meV per atom. The calculation puts the raw total energy at -2.035 eV per atom.

---

Entry 3:
The following is a DFT calculation (GGA-PBE) of a relaxed structure of EuRh2Pb.

abc: 3.4945 3.4945 6.6742
angles: 90.00 90.00 90.00
Last column: nearest neighbours and their distance in Å.
Element x y z (fractional)
Pb  0.5000  0.5000  0.5000  8 Rh 2.88
Eu  0.5000  0.5000  0.0000  8 Rh 3.09, 2 Pb 3.34
Rh  0.0000  0.0000  0.7220  4 Pb 2.88, 1 Rh 2.96, 4 Eu 3.09
Rh  0.0000  0.0000  0.2780  4 Pb 2.88, 1 Rh 2.96, 4 Eu 3.09

Properties
The calculation puts the calculated volume at 81.50 Å³/cell. Its energy of formation from the pure elements is -17.41 kJ/mol of atoms. The calculation puts the raw total energy at -7.352 eV per atom.

---

What is the calculated volume in the third record?
81.50 Å³/cell